1.
Entry from the Alexandria database: a relaxed structure of Mg6Ga12Ir (PBE).

The structure in POSCAR format:
```
Mg6Ga12Ir
1.0
7.134 0.902 1.081
-0.190 7.189 1.081
-0.190 -0.221 7.266
Mg Ga Ir
6 12 1
direct
0.796 0.797 0.332 Mg
0.668 0.204 0.203 Mg
0.203 0.668 0.204 Mg
0.204 0.203 0.668 Mg
0.332 0.796 0.797 Mg
0.797 0.332 0.796 Mg
0.903 0.410 0.408 Ga
0.408 0.903 0.410 Ga
0.410 0.408 0.903 Ga
0.097 0.590 0.592 Ga
0.592 0.097 0.590 Ga
0.590 0.592 0.097 Ga
0.059 0.063 0.338 Ga
0.937 0.662 0.941 Ga
0.662 0.941 0.937 Ga
0.941 0.937 0.662 Ga
0.063 0.338 0.059 Ga
0.338 0.059 0.063 Ga
0.000 0.000 0.000 Ir
```

Properties
ΔE_f, kJ per mole of atoms: -11.8
SG: R-3, No. 148
Total DFT energy (no corrections), eV/atom: -3.00
DOS(E_F), states/eV per atom: 0.27

2.
Entry from the Alexandria database: a relaxed structure of MgGa2Ir2 (PBE).

The structure in POSCAR format:
```
MgGa2Ir2
1.0
4.361 0.000 0.000
-2.180 3.777 0.000
0.000 0.000 5.098
Mg Ga Ir
1 2 2
direct
0.000 0.000 0.000 Mg
0.333 0.667 0.661 Ga
0.667 0.333 0.339 Ga
0.333 0.667 0.170 Ir
0.667 0.333 0.830 Ir
```

Properties
ΔE_f, kJ per mole of atoms: -32.3
SG: P-3m1, No. 164
Total DFT energy (no corrections), eV/atom: -5.41
DOS(E_F), states/eV per atom: 0.62

3.
Entry from the Alexandria database: a relaxed structure of MgGaIr (PBE).

The structure in POSCAR format:
```
MgGaIr
1.0
5.629 0.005 0.006
2.823 4.134 -1.043
2.821 -0.109 4.264
Mg Ga Ir
2 2 2
direct
0.878 0.742 0.146 Mg
0.378 0.459 0.429 Mg
0.104 0.101 0.288 Ga
0.651 0.602 0.788 Ga
0.596 0.132 0.820 Ir
0.158 0.070 0.757 Ir
```

Properties
ΔE_f, kJ per mole of atoms: -44.8
SG: C2, No. 5
Total DFT energy (no corrections), eV/atom: -4.96
DOS(E_F), states/eV per atom: 0.16

4.
Entry from the Alexandria database: a relaxed structure of MgGa2Ir2 (PBE).

The structure in POSCAR format:
```
MgGa2Ir2
1.0
3.070 0.000 0.000
0.000 2.898 0.549
0.000 -0.198 8.965
Mg Ga Ir
1 2 2
direct
0.000 0.000 0.000 Mg
0.000 0.183 0.635 Ga
0.000 0.817 0.365 Ga
0.500 0.398 0.203 Ir
0.500 0.602 0.797 Ir
```

Properties
ΔE_f, kJ per mole of atoms: -33.2
SG: Cmmm, No. 65
Total DFT energy (no corrections), eV/atom: -5.42
DOS(E_F), states/eV per atom: 0.32

5.
Entry from the Alexandria database: a relaxed structure of Mg6Ga2Ir (PBE).

The structure in POSCAR format:
```
Mg6Ga2Ir
1.0
6.790 0.000 0.000
0.000 6.790 0.000
0.000 0.000 9.338
Mg Ga Ir
12 4 2
direct
0.265 0.265 0.346 Mg
0.735 0.735 0.346 Mg
0.235 0.765 0.846 Mg
0.765 0.235 0.846 Mg
0.235 0.765 0.154 Mg
0.765 0.235 0.154 Mg
0.265 0.265 0.654 Mg
0.735 0.735 0.654 Mg
0.278 0.278 0.000 Mg
0.722 0.722 0.000 Mg
0.222 0.778 0.500 Mg
0.778 0.222 0.500 Mg
0.000 0.000 0.288 Ga
0.500 0.500 0.788 Ga
0.500 0.500 0.212 Ga
0.000 0.000 0.712 Ga
0.000 0.000 0.000 Ir
0.500 0.500 0.500 Ir
```

Properties
ΔE_f, kJ per mole of atoms: 1.5
SG: P4_2/mnm, No. 136
Total DFT energy (no corrections), eV/atom: -2.70
DOS(E_F), states/eV per atom: 0.54

6.
Entry from the Alexandria database: a relaxed structure of MgGaIr2 (PBE).

The structure in POSCAR format:
```
MgGaIr2
1.0
7.123 0.000 0.000
0.000 7.123 0.000
3.561 3.561 2.682
Mg Ir Ga
2 4 2
direct
0.500 0.500 0.000 Mg
0.250 0.750 0.500 Mg
0.667 0.125 0.250 Ir
0.083 0.625 0.250 Ir
0.375 0.333 0.750 Ir
0.875 0.917 0.750 Ir
0.000 0.000 0.000 Ga
0.750 0.250 0.500 Ga
```

Properties
ΔE_f, kJ per mole of atoms: 12.6
SG: I-42d, No. 122
Total DFT energy (no corrections), eV/atom: -5.45
DOS(E_F), states/eV per atom: 1.04

7.
Entry from the Alexandria database: a relaxed structure of MgGaIr (PBE).

The structure in POSCAR format:
```
MgGaIr
1.0
-0.519 3.553 -2.567
-4.008 -2.749 -2.994
-5.325 2.628 4.715
Mg Ir Ga
4 4 4
direct
0.500 0.250 0.750 Mg
0.000 0.750 0.250 Mg
0.500 0.750 0.750 Mg
0.000 0.250 0.250 Mg
0.000 0.500 0.586 Ir
0.000 0.000 0.914 Ir
0.500 0.000 0.414 Ir
0.500 0.500 0.086 Ir
0.000 0.000 0.580 Ga
0.000 0.500 0.920 Ga
0.500 0.000 0.080 Ga
0.500 0.500 0.420 Ga
```

Properties
ΔE_f, kJ per mole of atoms: -39.1
SG: Cmcm, No. 63
Total DFT energy (no corrections), eV/atom: -4.90
DOS(E_F), states/eV per atom: 0.28

8.
Entry from the Alexandria database: a relaxed structure of MgGaIr3 (PBE).

The structure in POSCAR format:
```
MgGaIr3
1.0
4.491 0.000 0.000
0.000 4.491 0.000
0.000 0.000 4.491
Mg Ir Ga
1 3 1
direct
0.000 0.000 0.000 Mg
0.000 0.500 0.000 Ir
0.000 0.000 0.500 Ir
0.500 0.000 0.000 Ir
0.500 0.500 0.500 Ga
```

Properties
ΔE_f, kJ per mole of atoms: 140.3
SG: Pm-3m, No. 221
Total DFT energy (no corrections), eV/atom: -4.79
DOS(E_F), states/eV per atom: 0.66

9.
Entry from the Alexandria database: a relaxed structure of Mg5Ga5Ir (PBE).

The structure in POSCAR format:
```
Mg5Ga5Ir
1.0
4.734 0.000 0.000
-2.367 6.300 -0.430
0.000 -2.787 8.819
Mg Ga Ir
5 5 1
direct
0.740 0.480 0.379 Mg
0.759 0.518 0.873 Mg
0.000 0.000 0.500 Mg
0.241 0.482 0.127 Mg
0.260 0.520 0.621 Mg
0.886 0.771 0.185 Ga
0.894 0.789 0.703 Ga
0.500 0.000 0.000 Ga
0.106 0.211 0.297 Ga
0.114 0.229 0.815 Ga
0.000 0.000 0.000 Ir
```

Properties
ΔE_f, kJ per mole of atoms: -5.3
SG: C2/m, No. 12
Total DFT energy (no corrections), eV/atom: -2.96
DOS(E_F), states/eV per atom: 0.41

10.
Entry from the Alexandria database: a relaxed structure of MgGa3Ir3 (PBE).

The structure in POSCAR format:
```
MgGa3Ir3
1.0
-2.164 -0.415 6.408
-3.843 -5.334 -1.643
5.144 -4.159 1.468
Mg Ir Ga
2 6 6
direct
0.500 0.500 0.500 Mg
0.000 0.000 0.000 Mg
0.000 0.250 0.500 Ir
0.000 0.750 0.500 Ir
0.500 0.000 0.750 Ir
0.750 0.500 0.000 Ir
0.500 0.000 0.250 Ir
0.250 0.500 0.000 Ir
0.250 0.000 0.500 Ga
0.000 0.500 0.250 Ga
0.500 0.750 0.000 Ga
0.750 0.000 0.500 Ga
0.000 0.500 0.750 Ga
0.500 0.250 0.000 Ga
```

Properties
ΔE_f, kJ per mole of atoms: 33.3
SG: Pm-3n, No. 223
Total DFT energy (no corrections), eV/atom: -4.98
DOS(E_F), states/eV per atom: 0.47

11.
Entry from the Alexandria database: a relaxed structure of MgGaIr (PBE).

The structure in POSCAR format:
```
MgGaIr
1.0
3.040 0.000 0.000
0.000 4.306 0.000
0.000 -2.153 3.730
Mg Ir Ga
1 1 1
direct
0.333 0.333 0.667 Mg
0.833 0.667 0.333 Ir
0.834 0.000 0.000 Ga
```

Properties
ΔE_f, kJ per mole of atoms: -43.2
SG: P-6m2, No. 187
Total DFT energy (no corrections), eV/atom: -4.94
DOS(E_F), states/eV per atom: 0.26

12.
Entry from the Alexandria database: a relaxed structure of Mg2GaIr (PBE).

The structure in POSCAR format:
```
Mg2GaIr
1.0
4.359 -0.010 -0.005
-2.168 3.782 0.005
-2.168 -1.264 4.431
Mg Ga Ir
2 1 1
direct
0.146 0.823 0.969 Mg
0.582 0.041 0.623 Mg
0.043 0.271 0.314 Ga
0.729 0.615 0.344 Ir
```

Properties
ΔE_f, kJ per mole of atoms: -33.2
SG: Cm, No. 8
Total DFT energy (no corrections), eV/atom: -4.11
DOS(E_F), states/eV per atom: 0.60